[1]
First-principles (GGA-PBE) data for a relaxed structure of Y2ZnCoC, as listed in the Alexandria database.

a b c (Å): 4.997 4.997 3.636
angles (deg): 90.00 90.00 90.00
Space group P4/mmm (No. 123)
One atom of each set of equivalent atoms:
Y 0.000 0.500 0.000 [2 per cell]
Zn 0.000 0.000 0.500 [1 per cell]
Co 0.500 0.500 0.500 [1 per cell]
C 0.500 0.500 0.000 [1 per cell]

Values from the calculation:
Volume, Å³/atom: 18.16
Fermi-level density of states, states/eV/atom: 0.54
Spin magnetization, Bohr magnetons per cell: 0.000
Formation enthalpy at 0 K, eV/atom: -0.366
Energy, eV/f.u.: -32.364

[2]
First-principles (GGA-PBE) data for a relaxed structure of Zn3CoC, as listed in the Alexandria database.

a b c (Å): 4.515 4.515 4.515
angles (deg): 90.00 90.00 90.00
Space group Pm-3m (No. 221)
One atom of each set of equivalent atoms:
Zn 0.000 0.000 0.500 [3 per cell]
Co 0.000 0.000 0.000 [1 per cell]
C 0.500 0.500 0.500 [1 per cell]

Values from the calculation:
Volume, Å³/atom: 18.41
Fermi-level density of states, states/eV/atom: 0.69
Spin magnetization, Bohr magnetons per cell: 1.700
Formation enthalpy at 0 K, eV/atom: 1.647
Energy, eV/f.u.: -11.917

[3]
First-principles (GGA-PBE) data for a relaxed structure of ZnCo2C, as listed in the Alexandria database.

a b c (Å): 2.8363 2.8363 18.1426
angles (deg): 90.00 90.00 120.00
Space group R-3m (No. 166, hexagonal axes)
One atom of each set of equivalent atoms:
Zn 0.0000 0.0000 0.0000 [3 per cell]
Co 0.0000 0.0000 0.2204 [6 per cell]
C 0.0000 0.0000 0.5000 [3 per cell]

Values from the calculation:
Volume, Å³/atom: 10.53
Fermi-level density of states, states/eV/atom: 0.59
Spin magnetization, Bohr magnetons per cell: 0.000
Formation enthalpy at 0 K, eV/atom: 0.052
Energy, eV/f.u.: -24.502

[4]
First-principles (GGA-PBE) data for a relaxed structure of Zn3CoC, as listed in the Alexandria database.

a b c (Å): 4.060 4.060 4.060
angles (deg): 90.00 90.00 90.00
Space group Pm-3m (No. 221)
One atom of each set of equivalent atoms:
Zn 0.000 0.000 0.500 [3 per cell]
Co 0.500 0.500 0.500 [1 per cell]
C 0.000 0.000 0.000 [1 per cell]

Values from the calculation:
Volume, Å³/atom: 13.39
Fermi-level density of states, states/eV/atom: 1.31
Spin magnetization, Bohr magnetons per cell: 1.196
Formation enthalpy at 0 K, eV/atom: 0.836
Energy, eV/f.u.: -15.974

[5]
First-principles (GGA-PBE) data for a relaxed structure of ZnCoC3, as listed in the Alexandria database.

a b c (Å): 3.849 3.849 3.849
angles (deg): 90.00 90.00 90.00
Space group Pm-3m (No. 221)
One atom of each set of equivalent atoms:
Zn 0.000 0.000 0.000 [1 per cell]
Co 0.500 0.500 0.500 [1 per cell]
C 0.000 0.000 0.500 [3 per cell]

Values from the calculation:
Volume, Å³/atom: 11.40
Fermi-level density of states, states/eV/atom: 1.22
Spin magnetization, Bohr magnetons per cell: 0.000
Formation enthalpy at 0 K, eV/atom: 3.100
Energy, eV/f.u.: -20.549

[6]
First-principles (GGA-PBE) data for a relaxed structure of ZnCo2C, as listed in the Alexandria database.

a b c (Å): 5.933 5.933 4.923
angles (deg): 90.00 90.00 90.00
Space group I-42d (No. 122)
One atom of each set of equivalent atoms:
Zn 0.000 0.000 0.000 [4 per cell]
Co 0.146 0.250 0.625 [8 per cell]
C 0.000 0.000 0.500 [4 per cell]

Values from the calculation:
Volume, Å³/atom: 10.83
Fermi-level density of states, states/eV/atom: 0.57
Spin magnetization, Bohr magnetons per cell: 0.000
Formation enthalpy at 0 K, eV/atom: 0.271
Energy, eV/f.u.: -23.625

[7]
First-principles (GGA-PBE) data for a relaxed structure of ZnCo3C, as listed in the Alexandria database.

a b c (Å): 3.738 3.738 3.738
angles (deg): 90.00 90.00 90.00
Space group Pm-3m (No. 221)
One atom of each set of equivalent atoms:
Zn 0.000 0.000 0.000 [1 per cell]
Co 0.000 0.500 0.500 [3 per cell]
C 0.500 0.500 0.500 [1 per cell]

Values from the calculation:
Volume, Å³/atom: 10.44
Fermi-level density of states, states/eV/atom: 0.70
Spin magnetization, Bohr magnetons per cell: 1.003
Formation enthalpy at 0 K, eV/atom: -0.013
Energy, eV/f.u.: -31.879

[8]
First-principles (GGA-PBE) data for a relaxed structure of ZnCo3C, as listed in the Alexandria database.

a b c (Å): 4.314 4.314 4.314
angles (deg): 90.00 90.00 90.00
Space group Pm-3m (No. 221)
One atom of each set of equivalent atoms:
Zn 0.000 0.000 0.000 [1 per cell]
Co 0.000 0.000 0.500 [3 per cell]
C 0.500 0.500 0.500 [1 per cell]

Values from the calculation:
Volume, Å³/atom: 16.05
Fermi-level density of states, states/eV/atom: 2.67
Spin magnetization, Bohr magnetons per cell: 5.157
Formation enthalpy at 0 K, eV/atom: 2.427
Energy, eV/f.u.: -19.682

[9]
First-principles (GGA-PBE) data for a relaxed structure of Zn2Co6C, as listed in the Alexandria database.

a b c (Å): 6.6821 6.6821 2.5646
angles (deg): 90.00 90.00 120.00
Space group P-31m (No. 162)
One atom of each set of equivalent atoms:
Zn 0.3333 0.6667 0.0000 [2 per cell]
Co 0.0000 0.3048 0.7206 [6 per cell]
C 0.0000 0.0000 0.5000 [1 per cell]

Values from the calculation:
Volume, Å³/atom: 11.02
Fermi-level density of states, states/eV/atom: 0.93
Spin magnetization, Bohr magnetons per cell: 7.972
Formation enthalpy at 0 K, eV/atom: 0.366
Energy, eV/f.u.: -51.113

[10]
First-principles (GGA-PBE) data for a relaxed structure of Zn2CoC2, as listed in the Alexandria database.

a b c (Å): 3.522 3.522 8.504
angles (deg): 90.00 90.00 90.00
Space group I4/mmm (No. 139)
One atom of each set of equivalent atoms:
Zn 0.000 0.500 0.250 [4 per cell]
Co 0.000 0.000 0.000 [2 per cell]
C 0.000 0.000 0.419 [4 per cell]

Values from the calculation:
Volume, Å³/atom: 10.55
Fermi-level density of states, states/eV/atom: 0.43
Spin magnetization, Bohr magnetons per cell: 2.216
Formation enthalpy at 0 K, eV/atom: 1.042
Energy, eV/f.u.: -22.891

[11]
First-principles (GGA-PBE) data for a relaxed structure of ZnCo2C, as listed in the Alexandria database.

a b c (Å): 5.405 5.405 5.405
angles (deg): 90.00 90.00 90.00
Space group Fm-3m (No. 225)
One atom of each set of equivalent atoms:
Zn 0.000 0.000 0.000 [4 per cell]
Co 0.250 0.250 0.250 [8 per cell]
C 0.000 0.000 0.500 [4 per cell]

Values from the calculation:
Volume, Å³/atom: 9.87
Fermi-level density of states, states/eV/atom: 0.34
Spin magnetization, Bohr magnetons per cell: 0.000
Formation enthalpy at 0 K, eV/atom: 0.935
Energy, eV/f.u.: -20.970

[12]
First-principles (GGA-PBE) data for a relaxed structure of ZnCoC2, as listed in the Alexandria database.

a b c (Å): 4.613 4.613 8.544
angles (deg): 90.00 90.00 90.00
Space group I-42d (No. 122)
One atom of each set of equivalent atoms:
Zn 0.000 0.000 0.000 [4 per cell]
Co 0.000 0.000 0.500 [4 per cell]
C 0.194 0.250 0.625 [8 per cell]

Values from the calculation:
Volume, Å³/atom: 11.36
Fermi-level density of states, states/eV/atom: 0.34
Spin magnetization, Bohr magnetons per cell: 0.000
Formation enthalpy at 0 K, eV/atom: 1.026
Energy, eV/f.u.: -22.724

[13]
First-principles (GGA-PBE) data for a relaxed structure of Zn2CoC2, as listed in the Alexandria database.

a b c (Å): 5.163 5.163 3.728
angles (deg): 90.00 90.00 90.00
Space group P4/mbm (No. 127)
One atom of each set of equivalent atoms:
Zn 0.229 0.271 0.000 [4 per cell]
Co 0.000 0.000 0.500 [2 per cell]
C 0.099 0.401 0.500 [4 per cell]

Values from the calculation:
Volume, Å³/atom: 9.94
Fermi-level density of states, states/eV/atom: 0.37
Spin magnetization, Bohr magnetons per cell: 0.000
Formation enthalpy at 0 K, eV/atom: 0.626
Energy, eV/f.u.: -24.972

[14]
First-principles (GGA-PBE) data for a relaxed structure of ZnCo2C, as listed in the Alexandria database.

a b c (Å): 2.8331 2.8331 18.1419
angles (deg): 90.00 90.00 120.00
Space group R3m (No. 160, hexagonal axes)
One atom of each set of equivalent atoms:
Zn 0.0000 0.0000 0.0000 [3 per cell]
Co 0.0000 0.0000 0.5536 [3 per cell]
Co 0.0000 0.0000 0.7790 [3 per cell]
C 0.0000 0.0000 0.1667 [3 per cell]

Values from the calculation:
Volume, Å³/atom: 10.51
Fermi-level density of states, states/eV/atom: 0.61
Spin magnetization, Bohr magnetons per cell: 0.000
Formation enthalpy at 0 K, eV/atom: 0.050
Energy, eV/f.u.: -24.508

[15]
First-principles (GGA-PBE) data for a relaxed structure of ZnCoC3, as listed in the Alexandria database.

a b c (Å): 3.755 3.755 3.755
angles (deg): 90.00 90.00 90.00
Space group Pm-3m (No. 221)
One atom of each set of equivalent atoms:
Zn 0.000 0.000 0.000 [1 per cell]
Co 0.500 0.500 0.500 [1 per cell]
C 0.000 0.500 0.500 [3 per cell]

Values from the calculation:
Volume, Å³/atom: 10.59
Fermi-level density of states, states/eV/atom: 0.66
Spin magnetization, Bohr magnetons per cell: 0.000
Formation enthalpy at 0 K, eV/atom: 2.102
Energy, eV/f.u.: -25.539

[16]
First-principles (GGA-PBE) data for a relaxed structure of Zr2ZnCoC, as listed in the Alexandria database.

a b c (Å): 4.582 4.582 3.704
angles (deg): 90.00 90.00 90.00
Space group P4/mmm (No. 123)
One atom of each set of equivalent atoms:
Zr 0.000 0.500 0.000 [2 per cell]
Zn 0.000 0.000 0.500 [1 per cell]
Co 0.500 0.500 0.500 [1 per cell]
C 0.500 0.500 0.000 [1 per cell]

Values from the calculation:
Volume, Å³/atom: 15.55
Fermi-level density of states, states/eV/atom: 0.83
Spin magnetization, Bohr magnetons per cell: 0.893
Formation enthalpy at 0 K, eV/atom: -0.340
Energy, eV/f.u.: -36.402

[17]
First-principles (GGA-PBE) data for a relaxed structure of ZrCoC2, as listed in the Alexandria database.

a b c (Å): 5.490 5.490 5.490
angles (deg): 90.00 90.00 90.00
Space group Fm-3m (No. 225)
One atom of each set of equivalent atoms:
Zr 0.000 0.000 0.000 [4 per cell]
Co 0.000 0.000 0.500 [4 per cell]
C 0.250 0.250 0.250 [8 per cell]

Values from the calculation:
Volume, Å³/atom: 10.34
Fermi-level density of states, states/eV/atom: 0.59
Spin magnetization, Bohr magnetons per cell: 4.175
Formation enthalpy at 0 K, eV/atom: 0.731
Energy, eV/f.u.: -31.177

[18]
First-principles (GGA-PBE) data for a relaxed structure of ZrCoC, as listed in the Alexandria database.

a b c (Å): 7.422 8.270 10.351
angles (deg): 90.00 90.00 90.00
Space group Fddd (No. 70, origin choice 2)
One atom of each set of equivalent atoms:
Zr 0.125 0.125 0.279 [16 per cell]
Co 0.000 0.000 0.500 [16 per cell]
C 0.104 0.375 0.375 [16 per cell]

Values from the calculation:
Volume, Å³/atom: 13.24
Fermi-level density of states, states/eV/atom: 0.97
Spin magnetization, Bohr magnetons per cell: 11.013
Formation enthalpy at 0 K, eV/atom: -0.039
Energy, eV/f.u.: -24.993

[19]
First-principles (GGA-PBE) data for a relaxed structure of Zr3CoC, as listed in the Alexandria database.

a b c (Å): 4.477 4.477 4.477
angles (deg): 90.00 90.00 90.00
Space group Pm-3m (No. 221)
One atom of each set of equivalent atoms:
Zr 0.000 0.000 0.500 [3 per cell]
Co 0.500 0.500 0.500 [1 per cell]
C 0.000 0.000 0.000 [1 per cell]

Values from the calculation:
Volume, Å³/atom: 17.95
Fermi-level density of states, states/eV/atom: 1.75
Spin magnetization, Bohr magnetons per cell: 0.003
Formation enthalpy at 0 K, eV/atom: -0.118
Energy, eV/f.u.: -42.562

[20]
First-principles (GGA-PBE) data for a relaxed structure of ZrCo2C, as listed in the Alexandria database.

a b c (Å): 6.412 6.412 4.879
angles (deg): 90.00 90.00 90.00
Space group I-42d (No. 122)
One atom of each set of equivalent atoms:
Zr 0.000 0.000 0.000 [4 per cell]
Co 0.122 0.250 0.625 [8 per cell]
C 0.000 0.000 0.500 [4 per cell]

Values from the calculation:
Volume, Å³/atom: 12.54
Fermi-level density of states, states/eV/atom: 0.66
Spin magnetization, Bohr magnetons per cell: 0.000
Formation enthalpy at 0 K, eV/atom: -0.008
Energy, eV/f.u.: -32.014

[21]
First-principles (GGA-PBE) data for a relaxed structure of Zr4CoC2, as listed in the Alexandria database.

a b c (Å): 3.344 11.117 11.920
angles (deg): 90.00 90.00 90.00
Space group Cmcm (No. 63)
One atom of each set of equivalent atoms:
Zr 0.000 0.000 0.000 [4 per cell]
Zr 0.000 0.271 0.111 [8 per cell]
Zr 0.000 0.441 0.750 [4 per cell]
Co 0.000 0.113 0.750 [4 per cell]
C 0.000 0.365 0.562 [8 per cell]

Values from the calculation:
Volume, Å³/atom: 15.82
Fermi-level density of states, states/eV/atom: 0.60
Spin magnetization, Bohr magnetons per cell: 0.000
Formation enthalpy at 0 K, eV/atom: -0.574
Energy, eV/f.u.: -63.766

[22]
First-principles (GGA-PBE) data for a relaxed structure of ZrCoC2, as listed in the Alexandria database.

a b c (Å): 4.414 4.414 10.242
angles (deg): 90.00 90.00 90.00
Space group I-42d (No. 122)
One atom of each set of equivalent atoms:
Zr 0.000 0.000 0.000 [4 per cell]
Co 0.000 0.000 0.500 [4 per cell]
C 0.172 0.250 0.625 [8 per cell]

Values from the calculation:
Volume, Å³/atom: 12.47
Fermi-level density of states, states/eV/atom: 0.42
Spin magnetization, Bohr magnetons per cell: 0.000
Formation enthalpy at 0 K, eV/atom: 0.341
Energy, eV/f.u.: -32.736

[23]
First-principles (GGA-PBE) data for a relaxed structure of Cr4C3, as listed in the Alexandria database.

a b c (Å): 4.197 4.197 4.197
angles (deg): 90.00 90.00 90.00
Space group P-43m (No. 215)
One atom of each set of equivalent atoms:
Cr 0.223 0.223 0.777 [4 per cell]
C 0.000 0.500 0.500 [3 per cell]

Values from the calculation:
Volume, Å³/atom: 10.56
Fermi-level density of states, states/eV/atom: 0.93
Spin magnetization, Bohr magnetons per cell: 0.000
Formation enthalpy at 0 K, eV/atom: 0.598
Energy, eV/f.u.: -61.978

[24]
First-principles (GGA-PBE) data for a relaxed structure of Cr23C6, as listed in the Alexandria database.

a b c (Å): 10.556 10.556 10.556
angles (deg): 90.00 90.00 90.00
Space group Fm-3m (No. 225)
One atom of each set of equivalent atoms:
Cr 0.000 0.000 0.000 [4 per cell]
Cr 0.000 0.169 0.169 [48 per cell]
Cr 0.119 0.119 0.381 [32 per cell]
Cr 0.250 0.250 0.250 [8 per cell]
C 0.000 0.000 0.277 [24 per cell]

Values from the calculation:
Volume, Å³/atom: 10.14
Fermi-level density of states, states/eV/atom: 0.77
Spin magnetization, Bohr magnetons per cell: 0.000
Formation enthalpy at 0 K, eV/atom: -0.095
Energy, eV/f.u.: -279.431

[25]
First-principles (GGA-PBE) data for a relaxed structure of CrC3, as listed in the Alexandria database.

a b c (Å): 3.121 3.121 3.121
angles (deg): 90.00 90.00 90.00
Space group Pm-3m (No. 221)
One atom of each set of equivalent atoms:
Cr 0.000 0.000 0.000 [1 per cell]
C 0.000 0.500 0.500 [3 per cell]

Values from the calculation:
Volume, Å³/atom: 7.60
Fermi-level density of states, states/eV/atom: 0.54
Spin magnetization, Bohr magnetons per cell: 1.532
Formation enthalpy at 0 K, eV/atom: 2.557
Energy, eV/f.u.: -27.066

[26]
First-principles (GGA-PBE) data for a relaxed structure of Cr4C, as listed in the Alexandria database.

a b c (Å): 2.7609 2.7609 8.4990
angles (deg): 90.00 90.00 120.00
Space group P-3m1 (No. 164)
One atom of each set of equivalent atoms:
Cr 0.3333 0.6667 0.1091 [2 per cell]
Cr 0.3333 0.6667 0.3647 [2 per cell]
C 0.0000 0.0000 0.5000 [1 per cell]

Values from the calculation:
Volume, Å³/atom: 11.22
Fermi-level density of states, states/eV/atom: 1.78
Spin magnetization, Bohr magnetons per cell: 0.210
Formation enthalpy at 0 K, eV/atom: 0.453
Energy, eV/f.u.: -45.453